CrCu2Re, optimized geometry, DFT PBE; energy relative to the elements = 0.31 eV/atom; space group = C2/m (12); energy above the most stable polymorph in this dataset = 9.3 kJ per mole of atoms; magnetization = 0.178 μB per atom; raw total energy = -7.253 eV/atom; crystal system = monoclinic
1.0
-0.014 -0.712 4.642
1.385 -2.681 3.598
3.732 2.074 1.091
Re Cr Cu
1 1 2
direct
0.750 0.750 0.750
0.250 0.250 0.250
0.999 0.999 0.003
0.501 0.501 0.497